Entry 1:
This record from Alexandria describes a relaxed CaIn2Hg crystal. The functional is PBE-GGA.

Cell lengths 5.728, 5.728, 3.539 Å; angles 90.00, 90.00, 111.32 degrees
Fractional coordinates of all 4 atoms:
Ca: 0.000 0.000 0.000
In: 0.000 0.500 0.500
In: 0.500 0.000 0.500
Hg: 0.500 0.500 0.000

Computed properties:
For the final energy, the calculation gives -2.178 eV/atom. The formation enthalpy at 0 K comes out at -0.233 eV/atom. As for the space-group type: Cmmm. The size of the total moment is 0.00 μB per cell.

***

Entry 2:
This record from Alexandria describes a relaxed CaIn4Hg4 crystal. The functional is PBE-GGA.

Cell lengths 5.038, 5.038, 11.592 Å; angles 104.01, 104.01, 60.09 degrees
Fractional coordinates of all 9 atoms:
Ca: 0.000 0.000 0.000
In: 0.189 0.189 0.587
In: 0.407 0.407 0.206
In: 0.593 0.593 0.794
In: 0.811 0.811 0.413
Hg: 0.113 0.113 0.314
Hg: 0.293 0.293 0.888
Hg: 0.707 0.707 0.112
Hg: 0.887 0.887 0.686

Computed properties:
For the final energy, the calculation gives -1.712 eV/atom. For the offset from the most stable computed form, the calculation gives 0 meV per atom. The formation enthalpy at 0 K comes out at -0.138 eV/atom. As for the space-group type: C2/m. The size of the total moment is 0.00 μB per cell.